This record from Alexandria describes Eu2Mn5Al12 at its PBEsol-relaxed geometry. The functional is meta-GGA SCAN.

Output
- Symmetry: R-3m
- E: -15.690 eV per atom

Structure (POSCAR):
```
Eu2Mn5Al12
1.0
6.7189 0.0031 0.0028
0.7647 6.6753 0.0028
0.7647 0.6824 6.6403
Al Mn Eu
12 5 2
direct
0.3341 0.3341 0.8825 Al
0.0000 0.7146 0.2854 Al
0.2854 0.0000 0.7146 Al
0.2854 0.7146 0.0000 Al
0.6659 0.6659 0.1175 Al
0.8825 0.3341 0.3341 Al
0.0000 0.2854 0.7146 Al
0.7146 0.0000 0.2854 Al
0.6659 0.1175 0.6659 Al
0.3341 0.8825 0.3341 Al
0.1175 0.6659 0.6659 Al
0.7146 0.2854 0.0000 Al
0.0857 0.0857 0.0857 Mn
0.0000 0.5000 0.0000 Mn
0.0000 0.0000 0.5000 Mn
0.5000 0.0000 0.0000 Mn
0.9143 0.9143 0.9143 Mn
0.3445 0.3445 0.3445 Eu
0.6555 0.6555 0.6555 Eu
```